1.
Ba2LuBiO6 | GGA-PBE | relaxed

Cell: 8.6174 8.6174 8.6174 Å, 90.00 90.00 90.00°
Space group Fm-3m (No. 225)
Asymmetric unit:
Ba 0.2500 0.2500 0.2500 [8 per cell]
Lu 0.0000 0.0000 0.0000 [4 per cell]
Bi 0.0000 0.0000 0.5000 [4 per cell]
O 0.0000 0.0000 0.2528 [24 per cell]

Summary:
M_tot in μB/atom: 0.0000
Crystal system: cubic
Uncorrected formation energy in eV per atom: -2.44

***

2.
Pm2Zn5Cu | GGA-PBE | relaxed

Cell: 4.3506 16.2758 8.8750 Å, 90.00 90.00 90.00°
Space group Cmcm (No. 63)
Asymmetric unit:
Pm 0.0000 0.0000 0.0000 [4 per cell]
Pm 0.0000 0.1986 0.2500 [4 per cell]
Zn 0.0000 0.1868 0.6064 [8 per cell]
Zn 0.0000 0.3520 0.5241 [8 per cell]
Zn 0.0000 0.4031 0.2500 [4 per cell]
Cu 0.0000 0.4449 0.7500 [4 per cell]

Summary:
Energy of formation in eV per atom: -0.296
M_tot in μB/atom: 0.0000
Crystal system: orthorhombic

***

3.
Hf2CuSi4 | GGA-PBE | relaxed

Cell: 3.7039 32.2805 3.6900 Å, 90.00 90.00 90.00°
Space group Cmcm (No. 63)
Asymmetric unit:
Hf 0.0000 0.0462 0.2500 [4 per cell]
Hf 0.0000 0.3245 0.2500 [4 per cell]
Cu 0.0000 0.2500 0.7500 [4 per cell]
Si 0.0000 0.1121 0.7500 [4 per cell]
Si 0.0000 0.2028 0.2500 [4 per cell]
Si 0.0000 0.3883 0.7500 [4 per cell]
Si 0.0000 0.4756 0.2500 [4 per cell]

Summary:
M_tot in μB/atom: 0.0000
Crystal system: orthorhombic
Uncorrected formation energy in eV per atom: -0.52

***

4.
BeCo2Br | GGA-PBE | relaxed

Cell: 3.0344 4.2376 4.7816 Å, 116.03 107.89 90.96°
Space group P-1 (No. 2)
Asymmetric unit:
Be 0.0000 0.0000 0.0000 [1 per cell]
Co 0.0000 0.5000 0.5000 [1 per cell]
Co 0.5000 0.0000 0.5000 [1 per cell]
Br 0.5000 0.5000 0.0000 [1 per cell]

Summary:
M_tot in μB/atom: 0.5445
Energy above the lowest structure with this stoichiometry in meV per atom: 408
Crystal system: triclinic
Uncorrected formation energy in eV per atom: 0.73

***

5.
NaSnH | GGA-PBE | relaxed

Cell: 6.7821 3.4987 4.8178 Å, 90.00 90.00 90.00°
Space group Pmma (No. 51)
Asymmetric unit:
Na 0.0000 0.0000 0.0000 [2 per cell]
Sn 0.2500 0.5000 0.4802 [2 per cell]
H 0.2500 0.5000 0.8682 [2 per cell]

Summary:
M_tot in μB/atom: 0.0000
Energy above the lowest structure with this stoichiometry in meV per atom: 61
Crystal system: orthorhombic

***

6.
Ta2SbOs2 | GGA-PBE | relaxed

Cell: 7.7266 7.7266 3.0248 Å, 90.00 90.00 90.00°
Space group P4/mbm (No. 127)
Asymmetric unit:
Ta 0.1523 0.3477 0.0000 [4 per cell]
Sb 0.0000 0.0000 0.5000 [2 per cell]
Os 0.1363 0.6363 0.5000 [4 per cell]

Summary:
M_tot in μB/atom: 0.0000
Energy above the lowest structure with this stoichiometry in meV per atom: 0
Crystal system: tetragonal
Uncorrected formation energy in eV per atom: -0.04

***

Which value of M_tot does entry 1 give?
0.0000 μB/atom